Material: La2GaTeRh
Method: DFT, GGA-PBE
State: relaxed

a = 5.542 Å, b = 5.542 Å, c = 4.766 Å
α = 90.00°, β = 90.00°, γ = 90.00°
Element x y z (fractional)
La 0.000 0.500 0.000
La 0.500 0.000 0.000
Ga 0.000 0.000 0.500
Te 0.500 0.500 0.500
Rh 0.000 0.000 0.000

Values from the calculation:
Space-group type: P4/mmm
Formation energy (no corrections) in meV/atom: -917.0